VASP calculation (PBE with a Hubbard U) on a relaxed structure of V2NiO4.

Cell: 5.9982 5.9982 6.0706 Å, 120.23 120.23 87.38°
With the nearest neighbours (Å) after each atom.
Positions (direct):
V 0.0000 0.0000 0.0000  6 O 2.03-2.08
V 0.0000 0.0000 0.5000  6 O 2.03-2.08
V 0.0000 0.5000 0.0000  6 O 2.04-2.11
V 0.5000 0.0000 0.5000  6 O 2.04-2.11
Ni 0.3808 0.6192 0.7500  4 O 2.00-2.01
Ni 0.6192 0.3808 0.2500  4 O 2.00-2.01
O 0.2175 0.2274 0.9651  1 Ni 2.01, 3 V 2.03-2.08
O 0.2274 0.2175 0.4651  1 Ni 2.01, 3 V 2.03-2.08
O 0.2408 0.7478 0.0175  1 Ni 2.00, 3 V 2.05-2.11
O 0.2522 0.7592 0.4825  1 Ni 2.00, 3 V 2.05-2.11
O 0.7478 0.2408 0.5175  1 Ni 2.00, 3 V 2.05-2.11
O 0.7592 0.2522 0.9825  1 Ni 2.00, 3 V 2.05-2.11
O 0.7726 0.7825 0.5349  1 Ni 2.01, 3 V 2.03-2.08
O 0.7825 0.7726 0.0349  1 Ni 2.01, 3 V 2.03-2.08

- Uncorrected energy: -7.089 eV/atom
- Symmetry: C2/c
- Density: 4.76 Mg/m³